Crystalline SbAs3 at its relaxed geometry. Source: Alexandria via LeMat-Bulk, functional PBE-GGA.

Values from the calculation:
Theoretical density: 6.636 Mg/m³
Offset from the most stable computed form: 443.5 meV/atom
DFT total energy: -16.28 eV per cell
Formation energy from raw total energies: 0.448 eV/atom

Cell lengths 5.9754, 5.9754, 5.9754 Å; angles 140.19, 140.19, 57.57 degrees
Atoms (fractional coordinates):
Sb 0.0000 0.0000 0.0000
As 0.2500 0.7500 0.5000
As 0.7500 0.2500 0.5000
As 0.5000 0.5000 0.0000